Version 1
# CuNiI2 PBE optimized geometry
data_CuNiI2
_chemical_formula_sum 'Cu4 Ni4 I8'
_symmetry_space_group_name_H-M 'I -4 2 d'
_symmetry_Int_Tables_number 122
_symmetry_space_group_name_Hall 'I -4 2bw'
_cell_length_a 5.976
_cell_length_b 5.976
_cell_length_c 11.907
_cell_angle_alpha 90.00
_cell_angle_beta 90.00
_cell_angle_gamma 90.00
loop_
_atom_site_label
_atom_site_type_symbol
_atom_site_fract_x
_atom_site_fract_y
_atom_site_fract_z
Cu1 Cu 0.000 0.000 0.000
Ni1 Ni 0.000 0.000 0.500
I1 I 0.240 0.250 0.625
# DOS(E_F) in states/eV/cell: 12.14

Version 2
# CuNiI2 PBE optimized geometry
data_CuNiI2
_chemical_formula_sum 'Cu4 Ni4 I8'
_symmetry_space_group_name_H-M 'F m -3 m'
_symmetry_Int_Tables_number 225
_symmetry_space_group_name_Hall '-F 4 2 3'
_cell_length_a 7.132
_cell_length_b 7.132
_cell_length_c 7.132
_cell_angle_alpha 90.00
_cell_angle_beta 90.00
_cell_angle_gamma 90.00
loop_
_atom_site_label
_atom_site_type_symbol
_atom_site_fract_x
_atom_site_fract_y
_atom_site_fract_z
Cu1 Cu 0.000 0.000 0.000
Ni1 Ni 0.000 0.000 0.500
I1 I 0.250 0.250 0.250
# DOS(E_F) in states/eV/cell: 32.61

Version 3
# CuNiI2 PBE optimized geometry
data_CuNiI2
_chemical_formula_sum 'Cu3 Ni3 I6'
_symmetry_space_group_name_H-M 'R -3 m'
_symmetry_Int_Tables_number 166
_symmetry_space_group_name_Hall '-R 3 2"'
_cell_length_a 4.1226
_cell_length_b 4.1226
_cell_length_c 23.6089
_cell_angle_alpha 90.00
_cell_angle_beta 90.00
_cell_angle_gamma 120.00
loop_
_atom_site_label
_atom_site_type_symbol
_atom_site_fract_x
_atom_site_fract_y
_atom_site_fract_z
Cu1 Cu 0.0000 0.0000 0.0000
Ni1 Ni 0.0000 0.0000 0.5000
I1 I 0.0000 0.0000 0.3981
# DOS(E_F) in states/eV/cell: 25.01

Stability summary - winner: version 1; margin: 27.0 kJ/mol of atoms.